## YReP2Cl (PBE-GGA)

Data for a relaxed structure of YReP2Cl.

Computed properties:
Its polymorph energy (0 for the lowest one) is 0.0 meV per atom. The value obtained for the uncorrected formation energy is -0.417 eV per formula unit. The space group is No. 123.

extended XYZ file:
```
5
Lattice="-4.2260 -0.6073 1.7388 1.6714 -3.0927 2.9821 0.8311 3.6137 3.2820" Properties=species:S:1:pos:R:3 pbc="T T T"
Re 0.0000 0.0000 0.0000
P 0.8357 -1.5464 1.4910
P -2.1130 -0.3036 0.8694
Y -0.8618 -0.0431 4.0014
Cl 0.4155 1.8069 1.6410
```

## Ta2InNi (PBE-GGA)

Data for a relaxed structure of Ta2InNi.

Computed properties:
Its calculated formation energy is 0.1673 eV/atom. The space group is No. 12.

extended XYZ file:
```
4
Lattice="6.3501 0.0161 0.0511 -2.5178 4.3447 -0.0261 1.3145 0.7845 2.4922" Properties=species:S:1:pos:R:3 pbc="T T T"
Ni 1.9162 2.1804 0.0125
In -0.6016 2.5646 1.2330
Ta 3.8323 0.4003 1.2716
Ta 0.0000 0.0000 0.0000
```

## CoRuCl3 (PBE-GGA)

Data for a relaxed structure of CoRuCl3.

Computed properties:
Its polymorph energy (0 for the lowest one) is 461.7 meV per atom. The value obtained for the uncorrected formation energy is 1.068 eV per formula unit. The space group is No. 99.

extended XYZ file:
```
5
Lattice="-3.7628 -1.9530 -1.8098 1.7179 -4.1745 0.9332 -2.6125 0.1121 5.3108" Properties=species:S:1:pos:R:3 pbc="T T T"
Co -0.5648 0.0242 1.1481
Ru -2.2430 -3.0114 2.0428
Cl -0.0944 -2.0463 2.4047
Cl -2.8348 -0.9356 1.0332
Cl -2.2219 0.0953 4.5169
```

## TePb7Cl12 (PBE-GGA)

Data for a relaxed structure of TePb7Cl12.

Computed properties:
The value obtained for the uncorrected formation energy is -21.212 eV per formula unit. The space group is No. 148.

extended XYZ file:
```
20
Lattice="10.2374 0.0000 2.9623 -4.6701 7.8367 3.3588 0.8972 0.0000 9.6798" Properties=species:S:1:pos:R:3 pbc="T T T"
Pb 5.1187 0.0000 1.4811
Pb -3.5680 6.9867 6.2934
Pb -1.4186 6.0856 11.6456
Pb 2.8423 2.6011 9.7011
Pb 10.0326 0.8500 9.7075
Pb 7.8831 1.7511 4.3553
Pb 3.6223 5.2356 6.2998
Cl 1.8653 2.9536 7.0602
Cl 6.0850 3.9476 5.2579
Cl 3.6104 6.4041 13.3457
Cl 7.8927 2.2381 11.3272
Cl 9.3331 0.9355 6.8133
Cl 0.3795 3.8891 10.7430
Cl 4.8289 0.8055 8.6114
Cl 1.6357 7.0311 7.3896
Cl 2.8542 1.4325 2.6552
Cl -2.8685 6.9012 9.1876
Cl 4.5993 4.8830 8.9407
Cl -1.4281 5.5986 4.6737
Te 0.0000 0.0000 0.0000
```

## SmTiZnHg (PBE-GGA)

Data for a relaxed structure of SmTiZnHg.

Computed properties:
Its calculated formation energy is -0.1175 eV/atom. The space group is No. 216.

extended XYZ file:
```
4
Lattice="4.9902 0.0000 0.0000 2.4951 4.3217 0.0000 2.4951 1.4406 4.0745" Properties=species:S:1:pos:R:3 pbc="T T T"
Hg 0.0000 0.0000 0.0000
Ti 2.4951 1.4406 1.0186
Zn 4.9902 2.8811 2.0372
Sm 7.4853 4.3217 3.0559
```

## Sm2Co2Cu (PBE-GGA)

Data for a relaxed structure of Sm2Co2Cu.

Computed properties:
Its calculated formation energy is -0.1084 eV/atom. The space group is No. 15.

extended XYZ file:
```
10
Lattice="5.3472 0.0000 0.0000 -2.6736 4.6499 0.0394 0.0000 -2.0787 7.4673" Properties=species:S:1:pos:R:3 pbc="T T T"
Sm 3.4842 0.0136 4.8409
Sm 1.8629 1.0529 1.1073
Sm -0.8106 2.5576 2.6658
Sm 0.8106 1.5183 6.3995
Cu 4.6101 -0.5197 1.8668
Cu 0.7371 -1.5590 5.6005
Co 4.5658 1.3021 0.0638
Co 1.8922 2.3084 3.7093
Co -1.8922 1.2690 7.4429
Co 0.7814 0.2628 3.7975
```

## Th4Zn3Au (PBE-GGA)

Data for a relaxed structure of Th4Zn3Au.

Computed properties:
Its calculated formation energy is -0.2801 eV/atom. The space group is No. 25.

extended XYZ file:
```
8
Lattice="3.7167 0.0000 0.0000 0.0000 4.4954 0.0000 0.0000 0.0000 12.0202" Properties=species:S:1:pos:R:3 pbc="T T T"
Th 1.8583 2.2477 4.1543
Th 1.8583 0.0000 7.9061
Th 0.0000 2.2477 10.1145
Th 0.0000 0.0000 1.8869
Zn 1.8583 0.0000 11.1991
Zn 0.0000 0.0000 5.2458
Zn 0.0000 2.2477 6.7889
Au 1.8583 2.2477 0.7854
```

## Sm5Si2Te2 (PBE-GGA)

Data for a relaxed structure of Sm5Si2Te2.

Computed properties:
The value obtained for the uncorrected formation energy is -9.221 eV per formula unit. The space group is No. 64.

extended XYZ file:
```
18
Lattice="7.4558 0.0000 2.7064 0.0000 7.9724 0.0000 1.0779 0.0000 8.6536" Properties=species:S:1:pos:R:3 pbc="T T T"
Sm 7.9334 2.6307 9.0643
Sm 4.2055 1.3555 7.7111
Sm 3.7279 3.9862 1.3532
Sm 5.5226 2.6307 4.0825
Sm 4.3281 6.6169 3.6490
Sm 6.7389 6.6169 8.6307
Sm 3.0110 5.3416 7.2775
Sm 1.7948 1.3555 2.7293
Sm 0.6003 5.3416 2.2958
Sm 0.0000 0.0000 0.0000
Te 5.8970 3.9862 7.0007
Te 2.1691 0.0000 5.6475
Te 2.6367 3.9862 4.3593
Te 6.3646 0.0000 5.7125
Si 6.5314 4.9650 2.3709
Si 4.6522 0.9789 1.6887
Si 2.8035 6.9935 1.0177
Si 0.9244 3.0073 0.3355
```

no.,spin magnetization (μB per cell)
1,0.0
2,0.0
3,4.0
4,0.0
5,1.7
6,0.4
7,0.0
8,0.0